No. 1
A relaxed SrCeMnN3 crystal, computed with GGA-PBE.

Values from the calculation:
The calculation puts the uncorrected formation energy at -0.905 eV/atom. The density comes out at 5.421 Mg/m³. For the total energy, the calculation gives -0.5781 Ry/atom. Its symmetry is P2_1/m.

Lattice parameters (Å, degrees): 3.5127 7.5228 7.6123 98.56 90.00 90.00
Site moments in Bohr magnetons follow the coordinates.
Positions (direct):
Sr  0.7500  0.8314  0.8156  0.01
Sr  0.2500  0.1686  0.1844  0.01
Ce  0.2500  0.6371  0.1730  0.14
Ce  0.7500  0.3629  0.8270  0.14
Mn  0.2500  0.0807  0.5912  1.45
Mn  0.7500  0.9193  0.4088  1.45
N  0.2500  0.8439  0.4737  -0.05
N  0.7500  0.8695  0.1664  0.03
N  0.7500  0.4243  0.1313  -0.01
N  0.7500  0.1561  0.5263  -0.05
N  0.2500  0.5757  0.8687  -0.01
N  0.2500  0.1305  0.8336  0.03

No. 2
A relaxed Sr4Ce3MnN8 crystal, computed with GGA-PBE.

Values from the calculation:
The calculation puts the uncorrected formation energy at -0.878 eV/atom. The density comes out at 5.999 Mg/m³. For the total energy, the calculation gives -0.5253 Ry/atom. Its symmetry is C2/m.

Lattice parameters (Å, degrees): 7.0954 7.2247 7.0983 119.42 119.99 90.00
Site moments in Bohr magnetons follow the coordinates.
Positions (direct):
Sr  0.5000  0.0000  0.0000  -0.02
Sr  0.5000  0.0000  0.5000  0.00
Sr  0.0000  0.0000  0.0000  0.00
Sr  0.0000  0.0000  0.5000  0.00
Ce  0.5000  0.5000  0.0000  0.05
Ce  0.5000  0.5000  0.5000  0.05
Ce  0.0000  0.5000  0.5000  0.05
Mn  0.0000  0.5000  0.0000  3.08
N  0.2276  0.7043  0.9766  -0.04
N  0.2291  0.7057  0.4582  -0.04
N  0.2646  0.2935  0.5291  0.01
N  0.7491  0.7043  0.9766  -0.04
N  0.2509  0.2957  0.0234  -0.04
N  0.7354  0.7065  0.4709  0.01
N  0.7709  0.2943  0.5418  -0.04
N  0.7724  0.2957  0.0234  -0.04

No. 3
A relaxed SrCeMnN4 crystal, computed with GGA-PBE.

Values from the calculation:
The calculation puts the uncorrected formation energy at -0.808 eV/atom. The density comes out at 5.251 Mg/m³. For the total energy, the calculation gives -0.5853 Ry/atom. Its symmetry is P2_1/m.

Lattice parameters (Å, degrees): 5.7832 5.4517 7.0881 90.00 106.57 90.00
Site moments in Bohr magnetons follow the coordinates.
Positions (direct):
Sr  0.7144  0.7500  0.9260  0.01
Sr  0.2856  0.2500  0.0740  0.01
Ce  0.7681  0.7500  0.4448  0.39
Ce  0.2319  0.2500  0.5552  0.39
Mn  0.2276  0.7500  0.3127  0.56
Mn  0.7724  0.2500  0.6873  0.56
N  0.9654  0.4959  0.7187  -0.01
N  0.0346  0.9959  0.2813  -0.01
N  0.0346  0.5041  0.2813  -0.01
N  0.9654  0.0041  0.7187  -0.01
N  0.4227  0.7500  0.1678  -0.02
N  0.5773  0.2500  0.8322  -0.02
N  0.4069  0.7500  0.5501  -0.02
N  0.5931  0.2500  0.4499  -0.02

No. 4
A relaxed CeTa2MnN4 crystal, computed with GGA-PBE.

Values from the calculation:
The calculation puts the uncorrected formation energy at -1.077 eV/atom. The density comes out at 11.055 Mg/m³. For the total energy, the calculation gives -0.7416 Ry/atom. Its symmetry is Cmcm.

Lattice parameters (Å, degrees): 3.1157 5.6599 10.8624 90.00 90.00 105.98
Positions (direct):
Ce  0.1053  0.2106  0.7500
Ce  0.8947  0.7894  0.2500
Ta  0.3679  0.7359  0.5569
Ta  0.6321  0.2641  0.0569
Ta  0.6321  0.2641  0.4431
Ta  0.3679  0.7359  0.9431
Mn  0.8417  0.6833  0.7500
Mn  0.1583  0.3167  0.2500
N  0.2712  0.5424  0.1115
N  0.7288  0.4576  0.6115
N  0.7288  0.4576  0.8885
N  0.2712  0.5424  0.3885
N  0.0000  0.0000  0.5000
N  0.0000  0.0000  0.0000
N  0.4428  0.8856  0.7500
N  0.5572  0.1144  0.2500

No. 5
A relaxed CeTaMnN3 crystal, computed with GGA-PBE.

Values from the calculation:
The calculation puts the uncorrected formation energy at -1.039 eV/atom. The density comes out at 9.216 Mg/m³. For the total energy, the calculation gives -0.7125 Ry/atom. Its symmetry is P2_1/m.

Lattice parameters (Å, degrees): 3.1628 6.8583 7.1874 104.94 90.00 90.00
Positions (direct):
Ce  0.7500  0.8078  0.7879
Ce  0.2500  0.1922  0.2121
Ta  0.2500  0.6657  0.1554
Ta  0.7500  0.3343  0.8446
Mn  0.2500  0.0987  0.5971
Mn  0.7500  0.9013  0.4029
N  0.2500  0.8029  0.5039
N  0.7500  0.8782  0.1304
N  0.7500  0.4408  0.1503
N  0.7500  0.1971  0.4961
N  0.2500  0.5592  0.8497
N  0.2500  0.1218  0.8696

No. 6
A relaxed TbCe2MnN5 crystal, computed with GGA-PBE.

Values from the calculation:
The calculation puts the uncorrected formation energy at -0.922 eV/atom. The density comes out at 7.809 Mg/m³. For the total energy, the calculation gives -0.6173 Ry/atom. Its symmetry is P4/mbm.

Lattice parameters (Å, degrees): 5.6363 6.5245 6.5245 90.00 90.00 90.00
Site moments in Bohr magnetons follow the coordinates.
Positions (direct):
Tb  0.0000  0.5000  0.5000  0.00
Tb  0.0000  0.0000  0.0000  0.00
Ce  0.5000  0.6682  0.1682  0.07
Ce  0.5000  0.1682  0.3318  0.07
Ce  0.5000  0.8318  0.6682  0.07
Ce  0.5000  0.3318  0.8318  0.07
Mn  0.0000  0.0000  0.5000  1.04
Mn  0.0000  0.5000  0.0000  1.04
N  0.5000  0.5000  0.5000  -0.08
N  0.5000  0.0000  0.0000  -0.08
N  0.2260  0.1447  0.6447  -0.04
N  0.2260  0.8553  0.3553  -0.04
N  0.2260  0.3553  0.1447  -0.04
N  0.2260  0.6447  0.8553  -0.04
N  0.7740  0.1447  0.6447  -0.04
N  0.7740  0.6447  0.8553  -0.04
N  0.7740  0.8553  0.3553  -0.04
N  0.7740  0.3553  0.1447  -0.04

No. 7
A relaxed TbCe2MnN4 crystal, computed with GGA-PBE.

Values from the calculation:
The calculation puts the uncorrected formation energy at -1.124 eV/atom. The density comes out at 7.861 Mg/m³. For the total energy, the calculation gives -0.6244 Ry/atom. Its symmetry is Cmcm.

Lattice parameters (Å, degrees): 3.4173 6.0137 11.7952 90.00 90.00 106.51
Site moments in Bohr magnetons follow the coordinates.
Positions (direct):
Tb  0.1087  0.2174  0.7500  0.02
Tb  0.8913  0.7826  0.2500  0.02
Ce  0.3683  0.7365  0.5522  0.17
Ce  0.6317  0.2635  0.0522  0.17
Ce  0.6317  0.2635  0.4478  0.17
Ce  0.3683  0.7365  0.9478  0.17
Mn  0.8413  0.6826  0.7500  2.54
Mn  0.1587  0.3174  0.2500  2.54
N  0.2727  0.5453  0.1297  0.03
N  0.7273  0.4547  0.6297  0.03
N  0.7273  0.4547  0.8703  0.03
N  0.2727  0.5453  0.3703  0.03
N  0.0000  0.0000  0.5000  0.01
N  0.0000  0.0000  0.0000  0.01
N  0.4419  0.8838  0.7500  -0.03
N  0.5581  0.1162  0.2500  -0.03

No. 8
A relaxed Tb2CeMnN4 crystal, computed with GGA-PBE.

Values from the calculation:
The calculation puts the uncorrected formation energy at -1.196 eV/atom. The density comes out at 8.279 Mg/m³. For the total energy, the calculation gives -0.6177 Ry/atom. Its symmetry is Cmcm.

Lattice parameters (Å, degrees): 3.3974 5.9687 11.7398 90.00 90.00 106.53
Site moments in Bohr magnetons follow the coordinates.
Positions (direct):
Tb  0.3695  0.7391  0.5465  0.05
Tb  0.6305  0.2609  0.0465  0.05
Tb  0.6305  0.2609  0.4535  0.05
Tb  0.3695  0.7391  0.9535  0.05
Ce  0.1030  0.2060  0.7500  0.50
Ce  0.8970  0.7940  0.2500  0.50
Mn  0.8367  0.6733  0.7500  2.57
Mn  0.1633  0.3267  0.2500  2.57
N  0.2722  0.5444  0.1307  0.03
N  0.7278  0.4556  0.6307  0.03
N  0.7278  0.4556  0.8693  0.03
N  0.2722  0.5444  0.3693  0.03
N  0.0000  0.0000  0.5000  0.04
N  0.0000  0.0000  0.0000  0.04
N  0.4339  0.8678  0.7500  -0.04
N  0.5661  0.1322  0.2500  -0.04

No. 9
A relaxed Ce2MnTcN5 crystal, computed with GGA-PBE.

Values from the calculation:
The calculation puts the uncorrected formation energy at -0.824 eV/atom. The density comes out at 7.715 Mg/m³. For the total energy, the calculation gives -0.6569 Ry/atom. Its symmetry is Cmc2_1.

Lattice parameters (Å, degrees): 3.3737 6.9750 9.4869 90.00 90.00 104.00
Site moments in Bohr magnetons follow the coordinates.
Positions (direct):
Ce  0.8698  0.7396  0.8103  0.11
Ce  0.1276  0.2552  0.6885  0.09
Ce  0.1302  0.2604  0.3103  0.11
Ce  0.8724  0.7448  0.1885  0.09
Mn  0.5622  0.1245  0.9582  1.24
Mn  0.4378  0.8755  0.4582  1.24
Tc  0.7997  0.5995  0.5107  -0.13
Tc  0.2003  0.4005  0.0107  -0.13
N  0.3476  0.6952  0.0056  -0.02
N  0.6894  0.3789  0.8703  -0.02
N  0.5056  0.0113  0.7906  0.02
N  0.3014  0.6028  0.6532  -0.01
N  0.9601  0.9202  0.5364  -0.06
N  0.6524  0.3048  0.5056  -0.02
N  0.3106  0.6211  0.3703  -0.02
N  0.4944  0.9887  0.2906  0.02
N  0.6986  0.3972  0.1532  -0.01
N  0.0399  0.0798  0.0364  -0.06

Please write out number 4 again, unchanged.
A relaxed CeTa2MnN4 crystal, computed with GGA-PBE.

Values from the calculation:
The calculation puts the uncorrected formation energy at -1.077 eV/atom. The density comes out at 11.055 Mg/m³. For the total energy, the calculation gives -0.7416 Ry/atom. Its symmetry is Cmcm.

Lattice parameters (Å, degrees): 3.1157 5.6599 10.8624 90.00 90.00 105.98
Positions (direct):
Ce  0.1053  0.2106  0.7500
Ce  0.8947  0.7894  0.2500
Ta  0.3679  0.7359  0.5569
Ta  0.6321  0.2641  0.0569
Ta  0.6321  0.2641  0.4431
Ta  0.3679  0.7359  0.9431
Mn  0.8417  0.6833  0.7500
Mn  0.1583  0.3167  0.2500
N  0.2712  0.5424  0.1115
N  0.7288  0.4576  0.6115
N  0.7288  0.4576  0.8885
N  0.2712  0.5424  0.3885
N  0.0000  0.0000  0.5000
N  0.0000  0.0000  0.0000
N  0.4428  0.8856  0.7500
N  0.5572  0.1144  0.2500

uncorrected formation energy of number 4 (CeTa2MnN4)? -1.077 eV/atom

Which of these has the lowest density? SrCeMnN4